# Ag2TeAs | the Alexandria database | GGA-PBEsol | relaxed
# M_tot	0.0	μB per formula unit
# N(E_F)	1.44	states/eV per cell
# offset from the most stable computed form	0.0	meV per atom
# energy relative to the elements, uncorrected	133	meV per atom
data_Ag2TeAs
_cell_length_a 2.9776
_cell_length_b 3.6435
_cell_length_c 7.6227
_cell_angle_alpha 90.00
_cell_angle_beta 90.00
_cell_angle_gamma 90.00
_symmetry_space_group_name_H-M 'P m m m'
_symmetry_Int_Tables_number 47
loop_
_symmetry_equiv_pos_as_xyz
'x,y,z'
'-x,-y,-z'
'-x,-y,z'
'x,y,-z'
'x,-y,-z'
'-x,y,z'
'-x,y,-z'
'x,-y,z'
loop_
_atom_site_label
_atom_site_fract_x
_atom_site_fract_y
_atom_site_fract_z
Ag1 0.0000 0.0000 0.2051
Te1 0.0000 0.5000 0.5000
As1 0.5000 0.5000 0.0000